1.
# Ac3GaSn2

Ac3GaSn2 after structural relaxation (PBE, Alexandria via LeMat-Bulk).

Output
magnetic moment: 0.00 μB/cell
total DFT energy (no corrections): -0.166 hartree per atom
N(E_F): 4.281 states/eV/f.u.
E above lowest polymorph: 0.00 kJ/mol of atoms
ΔE_f: -0.631 eV per atom

```
data_Ac3GaSn2
_chemical_formula_sum 'Ac12 Ga4 Sn8'
_space_group_name_H-M_alt 'P n m a'
_space_group_IT_number 62
_cell_length_a 13.329
_cell_length_b 4.721
_cell_length_c 13.160
_cell_angle_alpha 90.00
_cell_angle_beta 90.00
_cell_angle_gamma 90.00
loop_
_space_group_symop_operation_xyz
'x,y,z'
'-x,-y,-z'
'-x+1/2,-y,z+1/2'
'x+1/2,y,-z+1/2'
'x+1/2,-y+1/2,-z+1/2'
'-x+1/2,y+1/2,z+1/2'
'-x,y+1/2,-z'
'x,-y+1/2,z'
loop_
_atom_site_label
_atom_site_type_symbol
_atom_site_fract_x
_atom_site_fract_y
_atom_site_fract_z
Ac1 Ac 0.054 0.250 0.121
Ac2 Ac 0.121 0.750 0.555
Ac3 Ac 0.215 0.250 0.795
Ga1 Ga 0.131 0.250 0.363
Sn1 Sn 0.014 0.750 0.312
Sn2 Sn 0.192 0.750 0.998
```

2.
# Ac3Ga2Sn6

Ac3Ga2Sn6 after structural relaxation (PBE, Alexandria via LeMat-Bulk).

Output
magnetic moment: 0.00 μB/cell
total DFT energy (no corrections): -0.158 hartree per atom
N(E_F): 5.391 states/eV/f.u.
ΔE_f: -0.449 eV per atom

```
data_Ac3Ga2Sn6
_chemical_formula_sum 'Ac6 Ga4 Sn12'
_space_group_name_H-M_alt 'I 4/m m m'
_space_group_IT_number 139
_space_group_name_Hall '-I 4 2'
_cell_length_a 4.665
_cell_length_b 4.665
_cell_length_c 31.267
_cell_angle_alpha 90.00
_cell_angle_beta 90.00
_cell_angle_gamma 90.00
loop_
_atom_site_label
_atom_site_type_symbol
_atom_site_fract_x
_atom_site_fract_y
_atom_site_fract_z
Ac1 Ac 0.000 0.000 0.000
Ac2 Ac 0.000 0.000 0.166
Ga1 Ga 0.000 0.000 0.360
Sn1 Sn 0.000 0.000 0.273
Sn2 Sn 0.000 0.500 0.081
```

3.
# Ac2GaSn8

Ac2GaSn8 after structural relaxation (PBE, Alexandria via LeMat-Bulk).

Output
magnetic moment: 0.00 μB/cell
total DFT energy (no corrections): -0.155 hartree per atom
N(E_F): 6.503 states/eV/f.u.
ΔE_f: -0.293 eV per atom

```
data_Ac2GaSn8
_chemical_formula_sum 'Ac2 Ga1 Sn8'
_space_group_name_H-M_alt 'P 4/m m m'
_space_group_IT_number 123
_space_group_name_Hall '-P 4 2'
_cell_length_a 4.787
_cell_length_b 4.787
_cell_length_c 14.259
_cell_angle_alpha 90.00
_cell_angle_beta 90.00
_cell_angle_gamma 90.00
loop_
_atom_site_label
_atom_site_type_symbol
_atom_site_fract_x
_atom_site_fract_y
_atom_site_fract_z
Ac1 Ac 0.000 0.000 0.172
Ga1 Ga 0.000 0.000 0.500
Sn1 Sn 0.000 0.500 0.000
Sn2 Sn 0.000 0.500 0.364
Sn3 Sn 0.500 0.500 0.191
```

4.
# Ac4GaSn

Ac4GaSn after structural relaxation (PBE, Alexandria via LeMat-Bulk).

Output
magnetic moment: 0.00 μB/cell
total DFT energy (no corrections): -0.155 hartree per atom
N(E_F): 7.213 states/eV/f.u.
E above lowest polymorph: 5.64 kJ/mol of atoms
ΔE_f: -0.299 eV per atom

```
data_Ac4GaSn
_chemical_formula_sum 'Ac4 Ga1 Sn1'
_space_group_name_H-M_alt 'P 4/m m m'
_space_group_IT_number 123
_space_group_name_Hall '-P 4 2'
_cell_length_a 5.515
_cell_length_b 5.515
_cell_length_c 7.855
_cell_angle_alpha 90.00
_cell_angle_beta 90.00
_cell_angle_gamma 90.00
loop_
_atom_site_label
_atom_site_type_symbol
_atom_site_fract_x
_atom_site_fract_y
_atom_site_fract_z
Ac1 Ac 0.000 0.500 0.235
Ga1 Ga 0.000 0.000 0.000
Sn1 Sn 0.500 0.500 0.500
```

5.
# Ac2GaSn3

Ac2GaSn3 after structural relaxation (PBE, Alexandria via LeMat-Bulk).

Output
magnetic moment: 0.00 μB/cell
total DFT energy (no corrections): -0.162 hartree per atom
N(E_F): 4.089 states/eV/f.u.
E above lowest polymorph: 1.83 kJ/mol of atoms
ΔE_f: -0.529 eV per atom

```
data_Ac2GaSn3
_chemical_formula_sum 'Ac4 Ga2 Sn6'
_space_group_name_H-M_alt 'C 1 m 1'
_space_group_IT_number 8
_cell_length_a 12.574
_cell_length_b 4.644
_cell_length_c 8.115
_cell_angle_alpha 90.00
_cell_angle_beta 129.59
_cell_angle_gamma 90.00
loop_
_space_group_symop_operation_xyz
'x,y,z'
'x,-y,z'
'x+1/2,y+1/2,z'
'x+1/2,-y+1/2,z'
loop_
_atom_site_label
_atom_site_type_symbol
_atom_site_fract_x
_atom_site_fract_y
_atom_site_fract_z
Ac1 Ac 0.000 0.000 0.000
Ac2 Ac 0.123 0.000 0.621
Ga1 Ga 0.216 0.500 0.016
Sn1 Sn 0.213 0.500 0.409
Sn2 Sn 0.385 0.000 0.186
Sn3 Sn 0.414 0.000 0.621
```

6.
# AcGaSn

AcGaSn after structural relaxation (PBE, Alexandria via LeMat-Bulk).

Output
magnetic moment: 0.00 μB/cell
total DFT energy (no corrections): -0.148 hartree per atom
N(E_F): 1.456 states/eV/f.u.
E above lowest polymorph: 33.69 kJ/mol of atoms
ΔE_f: -0.303 eV per atom

```
data_AcGaSn
_chemical_formula_sum 'Ac2 Ga2 Sn2'
_space_group_name_H-M_alt 'I 4 m m'
_space_group_IT_number 107
_space_group_name_Hall 'I 4 -2'
_cell_length_a 4.586
_cell_length_b 4.586
_cell_length_c 9.156
_cell_angle_alpha 90.00
_cell_angle_beta 90.00
_cell_angle_gamma 90.00
loop_
_atom_site_label
_atom_site_type_symbol
_atom_site_fract_x
_atom_site_fract_y
_atom_site_fract_z
Ac1 Ac 0.000 0.000 0.000
Ga1 Ga 0.000 0.000 0.658
Sn1 Sn 0.000 0.000 0.356
```